No. 1
Computed, not measured: a geometry-optimized Be2TlPbI structure at the PBE level of DFT.

The magnetic moment comes out at 0.00 μB/f.u. The electronic total energy is -11.03 eV for the cell shown.

The structure belongs to space group P4/mmm (No. 123); the cell edges are 4.686, 4.686 and 6.762 Å and the angles 90.00°, 90.00° and 90.00°. The asymmetric unit holds Be at (0.000, 0.500, 0.000), Tl at (0.000, 0.000, 0.000), Pb at (0.500, 0.500, 0.500) and I at (0.000, 0.000, 0.500).


No. 2
Computed, not measured: a geometry-optimized BeVPb2I structure at the PBE level of DFT.

The magnetic moment comes out at 3.02 μB/f.u. The electronic total energy is -14.36 eV for the cell shown.

The structure belongs to space group P4/mmm (No. 123); the cell edges are 6.086, 6.086 and 5.023 Å and the angles 90.00°, 90.00° and 90.00°. The asymmetric unit holds Be at (0.000, 0.000, 0.000), V at (0.500, 0.500, 0.000), Pb at (0.000, 0.500, 0.500) and I at (0.500, 0.500, 0.500).


No. 3
Computed, not measured: a geometry-optimized BeZnPbI2 structure at the PBE level of DFT.

The magnetic moment comes out at 0.00 μB/f.u. The electronic total energy is -8.49 eV for the cell shown.

The structure belongs to space group P4/mmm (No. 123); the cell edges are 5.678, 5.678 and 5.481 Å and the angles 90.00°, 90.00° and 90.00°. The asymmetric unit holds Be at (0.000, 0.000, 0.000), Zn at (0.500, 0.500, 0.500), Pb at (0.500, 0.500, 0.000) and I at (0.000, 0.500, 0.500).


No. 4
Computed, not measured: a geometry-optimized Be2PdI structure at the PBE level of DFT.

As for the relative energy among the computed polymorphs: 469 meV per atom. The magnetic moment comes out at 0.00 μB/f.u. The electronic total energy is -43.45 eV for the cell shown.

The structure belongs to space group Fm-3m (No. 225); the cell edges are 6.260, 6.260 and 6.260 Å and the angles 90.00°, 90.00° and 90.00°. The asymmetric unit holds Be at (0.250, 0.250, 0.250), Pd at (0.000, 0.000, 0.000) and I at (0.000, 0.000, 0.500).


No. 5
Computed, not measured: a geometry-optimized Be2PdI structure at the PBE level of DFT.

As for the relative energy among the computed polymorphs: 0 meV per atom. The magnetic moment comes out at 0.00 μB/f.u. The electronic total energy is -50.95 eV for the cell shown.

The structure belongs to space group I-42d (No. 122); the cell edges are 5.547, 5.547 and 10.622 Å and the angles 90.00°, 90.00° and 90.00°. The asymmetric unit holds Be at (0.193, 0.250, 0.125), Pd at (0.000, 0.000, 0.000) and I at (0.000, 0.000, 0.500).


No. 6
Computed, not measured: a geometry-optimized BePdI2 structure at the PBE level of DFT.

As for the relative energy among the computed polymorphs: 0 meV per atom. The magnetic moment comes out at 0.00 μB/f.u. The electronic total energy is -48.76 eV for the cell shown.

The structure belongs to space group I-42d (No. 122); the cell edges are 6.091, 6.091 and 11.343 Å and the angles 90.00°, 90.00° and 90.00°. The asymmetric unit holds Be at (0.000, 0.000, 0.000), Pd at (0.000, 0.000, 0.500) and I at (0.212, 0.250, 0.125).


No. 7
Computed, not measured: a geometry-optimized BePd2I structure at the PBE level of DFT.

As for the relative energy among the computed polymorphs: 132 meV per atom. The magnetic moment comes out at 0.00 μB/f.u. The electronic total energy is -57.54 eV for the cell shown.

The structure belongs to space group Fm-3m (No. 225); the cell edges are 6.483, 6.483 and 6.483 Å and the angles 90.00°, 90.00° and 90.00°. The asymmetric unit holds Be at (0.000, 0.000, 0.000), Pd at (0.250, 0.250, 0.250) and I at (0.000, 0.000, 0.500).


No. 8
Computed, not measured: a geometry-optimized BePdI3 structure at the PBE level of DFT.

As for the relative energy among the computed polymorphs: 116 meV per atom. The magnetic moment comes out at 0.91 μB/f.u. The electronic total energy is -10.66 eV for the cell shown.

The structure belongs to space group Pm-3m (No. 221); the cell edges are 5.502, 5.502 and 5.502 Å and the angles 90.00°, 90.00° and 90.00°. The asymmetric unit holds Be at (0.000, 0.000, 0.000), Pd at (0.500, 0.500, 0.500) and I at (0.000, 0.500, 0.500).


The N(E_F) results, record by record, are as follows: 1.11 3.76 1.96 8.21 12.58 0.00 5.13 1.98 states/eV per cell.